(1)
## Al2Au2I (PBE)

Data for a geometry-optimized Al2Au2I structure.

CIF file:
```
data_Al2Au2I
_chemical_formula_sum 'Al4 Au4 I2'
_cell_length_a 4.4755
_cell_length_b 4.4755
_cell_length_c 11.4291
_cell_angle_alpha 90.00
_cell_angle_beta 90.00
_cell_angle_gamma 90.00
_space_group_name_H-M_alt 'I 4/m m m'
_space_group_IT_number 139
_space_group_name_Hall '-I 4 2'
loop_
_atom_site_label
_atom_site_type_symbol
_atom_site_fract_x
_atom_site_fract_y
_atom_site_fract_z
Al1 Al 0.0000 0.5000 0.2500
Au1 Au 0.0000 0.0000 0.1334
I1 I 0.0000 0.0000 0.5000
```

Values from the calculation:
- mass density (g/cm3) = 8.3
- volume (Å³/cell) = 228.93
- Fermi-level density of states (states/eV per cell) = 2.9

(2)
## Al2Au2I (PBE)

Data for a geometry-optimized Al2Au2I structure.

CIF file:
```
data_Al2Au2I
_chemical_formula_sum 'Al4 Au4 I2'
_cell_length_a 7.8711
_cell_length_b 7.8711
_cell_length_c 3.4027
_cell_angle_alpha 90.00
_cell_angle_beta 90.00
_cell_angle_gamma 90.00
_space_group_name_H-M_alt 'P 4/m b m'
_space_group_IT_number 127
_space_group_name_Hall '-P 4 2ab'
loop_
_atom_site_label
_atom_site_type_symbol
_atom_site_fract_x
_atom_site_fract_y
_atom_site_fract_z
Al1 Al 0.1543 0.3457 0.0000
Au1 Au 0.1328 0.6328 0.5000
I1 I 0.0000 0.0000 0.5000
```

Values from the calculation:
- mass density (g/cm3) = 9.1
- volume (Å³/cell) = 210.81
- Fermi-level density of states (states/eV per cell) = 3.7

Of them, (2) has the lowest stability.

(1)
## AlAuI2 (PBE)

Data for a geometry-optimized AlAuI2 structure.

CIF file:
```
data_AlAuI2
_chemical_formula_sum 'Al4 Au4 I8'
_cell_length_a 7.9965
_cell_length_b 7.9965
_cell_length_c 8.6267
_cell_angle_alpha 90.00
_cell_angle_beta 90.00
_cell_angle_gamma 90.00
_space_group_name_H-M_alt 'I -4 2 d'
_space_group_IT_number 122
_space_group_name_Hall 'I -4 2bw'
loop_
_atom_site_label
_atom_site_type_symbol
_atom_site_fract_x
_atom_site_fract_y
_atom_site_fract_z
Al1 Al 0.0000 0.0000 0.0000
Au1 Au 0.0000 0.0000 0.5000
I1 I 0.2135 0.2500 0.6250
```

Values from the calculation:
- mass density (g/cm3) = 5.8
- volume (Å³/cell) = 551.63
- Fermi-level density of states (states/eV per cell) = 0.0

(2)
## AlAuI2 (PBE)

Data for a geometry-optimized AlAuI2 structure.

CIF file:
```
data_AlAuI2
_chemical_formula_sum 'Al4 Au4 I8'
_cell_length_a 7.5987
_cell_length_b 7.5987
_cell_length_c 7.5987
_cell_angle_alpha 90.00
_cell_angle_beta 90.00
_cell_angle_gamma 90.00
_space_group_name_H-M_alt 'F m -3 m'
_space_group_IT_number 225
_space_group_name_Hall '-F 4 2 3'
loop_
_atom_site_label
_atom_site_type_symbol
_atom_site_fract_x
_atom_site_fract_y
_atom_site_fract_z
Al1 Al 0.0000 0.0000 0.0000
Au1 Au 0.0000 0.0000 0.5000
I1 I 0.2500 0.2500 0.2500
```

Values from the calculation:
- mass density (g/cm3) = 7.2
- volume (Å³/cell) = 438.75
- Fermi-level density of states (states/eV per cell) = 3.8

Of them, (2) has the lowest stability.

(1)
## AlAuIN2 (PBE)

Data for a geometry-optimized AlAuIN2 structure.

CIF file:
```
data_AlAuIN2
_chemical_formula_sum 'Al1 Au1 I1 N2'
_cell_length_a 4.1391
_cell_length_b 4.1391
_cell_length_c 7.9420
_cell_angle_alpha 90.00
_cell_angle_beta 90.00
_cell_angle_gamma 90.00
_space_group_name_H-M_alt 'P 4/m m m'
_space_group_IT_number 123
_space_group_name_Hall '-P 4 2'
loop_
_atom_site_label
_atom_site_type_symbol
_atom_site_fract_x
_atom_site_fract_y
_atom_site_fract_z
Al1 Al 0.0000 0.0000 0.0000
Au1 Au 0.5000 0.5000 0.5000
I1 I 0.5000 0.5000 0.0000
N1 N 0.0000 0.5000 0.5000
```

Values from the calculation:
- mass density (g/cm3) = 4.6
- volume (Å³/cell) = 136.06
- Fermi-level density of states (states/eV per cell) = 2.5

(2)
## AlAuIN2 (PBE)

Data for a geometry-optimized AlAuIN2 structure.

CIF file:
```
data_AlAuIN2
_chemical_formula_sum 'Al1 Au1 I1 N2'
_cell_length_a 3.8074
_cell_length_b 3.8074
_cell_length_c 7.3631
_cell_angle_alpha 90.00
_cell_angle_beta 90.00
_cell_angle_gamma 90.00
_space_group_name_H-M_alt 'P 4/m m m'
_space_group_IT_number 123
_space_group_name_Hall '-P 4 2'
loop_
_atom_site_label
_atom_site_type_symbol
_atom_site_fract_x
_atom_site_fract_y
_atom_site_fract_z
Al1 Al 0.0000 0.0000 0.0000
Au1 Au 0.5000 0.5000 0.5000
I1 I 0.0000 0.0000 0.5000
N1 N 0.0000 0.5000 0.0000
```

Values from the calculation:
- mass density (g/cm3) = 5.9
- volume (Å³/cell) = 106.74
- Fermi-level density of states (states/eV per cell) = 3.9

Of them, (1) has the lowest stability.

(1)
## AlAuI2N (PBE)

Data for a geometry-optimized AlAuI2N structure.

CIF file:
```
data_AlAuI2N
_chemical_formula_sum 'Al1 Au1 I2 N1'
_cell_length_a 5.9150
_cell_length_b 5.9150
_cell_length_c 3.4578
_cell_angle_alpha 90.00
_cell_angle_beta 90.00
_cell_angle_gamma 90.00
_space_group_name_H-M_alt 'P 4/m m m'
_space_group_IT_number 123
_space_group_name_Hall '-P 4 2'
loop_
_atom_site_label
_atom_site_type_symbol
_atom_site_fract_x
_atom_site_fract_y
_atom_site_fract_z
Al1 Al 0.0000 0.0000 0.0000
Au1 Au 0.5000 0.5000 0.5000
I1 I 0.0000 0.5000 0.0000
N1 N 0.0000 0.0000 0.5000
```

Values from the calculation:
- mass density (g/cm3) = 6.7
- volume (Å³/cell) = 120.98
- Fermi-level density of states (states/eV per cell) = 3.0

(2)
## AlAuI2N (PBE)

Data for a geometry-optimized AlAuI2N structure.

CIF file:
```
data_AlAuI2N
_chemical_formula_sum 'Al1 Au1 I2 N1'
_cell_length_a 6.1254
_cell_length_b 6.1254
_cell_length_c 3.8202
_cell_angle_alpha 90.00
_cell_angle_beta 90.00
_cell_angle_gamma 90.00
_space_group_name_H-M_alt 'P 4/m m m'
_space_group_IT_number 123
_space_group_name_Hall '-P 4 2'
loop_
_atom_site_label
_atom_site_type_symbol
_atom_site_fract_x
_atom_site_fract_y
_atom_site_fract_z
Al1 Al 0.0000 0.0000 0.0000
Au1 Au 0.5000 0.5000 0.5000
I1 I 0.0000 0.5000 0.5000
N1 N 0.5000 0.5000 0.0000
```

Values from the calculation:
- mass density (g/cm3) = 5.7
- volume (Å³/cell) = 143.34
- Fermi-level density of states (states/eV per cell) = 4.1

Of them, (2) has the lowest stability.

(1)
## Rb2AlAuI6 (PBE)

Data for a geometry-optimized Rb2AlAuI6 structure.

CIF file:
```
data_Rb2AlAuI6
_chemical_formula_sum 'Rb4 Al2 Au2 I12'
_cell_length_a 8.1648
_cell_length_b 8.1648
_cell_length_c 11.9809
_cell_angle_alpha 90.00
_cell_angle_beta 90.00
_cell_angle_gamma 90.00
_space_group_name_H-M_alt 'I 4/m m m'
_space_group_IT_number 139
_space_group_name_Hall '-I 4 2'
loop_
_atom_site_label
_atom_site_type_symbol
_atom_site_fract_x
_atom_site_fract_y
_atom_site_fract_z
Rb1 Rb 0.0000 0.5000 0.2500
Al1 Al 0.0000 0.0000 0.0000
Au1 Au 0.0000 0.0000 0.5000
I1 I 0.0000 0.0000 0.2279
I2 I 0.2487 0.2487 0.0000
```

Values from the calculation:
- mass density (g/cm3) = 4.8
- volume (Å³/cell) = 798.69
- Fermi-level density of states (states/eV per cell) = 0.6

(2)
## Rb2AlAuI6 (PBE)

Data for a geometry-optimized Rb2AlAuI6 structure.

CIF file:
```
data_Rb2AlAuI6
_chemical_formula_sum 'Rb2 Al1 Au1 I6'
_cell_length_a 8.3543
_cell_length_b 8.3763
_cell_length_c 8.5308
_cell_angle_alpha 119.32
_cell_angle_beta 90.07
_cell_angle_gamma 119.89
_space_group_name_H-M_alt 'P 1'
_space_group_IT_number 1
loop_
_space_group_symop_operation_xyz
'x,y,z'
loop_
_atom_site_label
_atom_site_type_symbol
_atom_site_fract_x
_atom_site_fract_y
_atom_site_fract_z
Rb1 Rb 0.0000 0.0000 0.0000
Rb2 Rb 0.4935 0.9890 0.4825
Al1 Al 0.7437 0.4888 0.2311
Au1 Au 0.3214 0.6437 0.9629
I1 I 0.0171 0.5087 0.4165
I2 I 0.4370 0.3818 0.9410
I3 I 0.4921 0.4016 0.4175
I4 I 0.5588 0.9972 0.9404
I5 I 0.9086 0.9258 0.4168
I6 I 0.9429 0.5026 0.9402
```

Values from the calculation:
- mass density (g/cm3) = 4.5
- volume (Å³/cell) = 426.88

Of them, (1) has the lowest stability.

(1)
## AlTeAuI2 (PBE)

Data for a geometry-optimized AlTeAuI2 structure.

CIF file:
```
data_AlTeAuI2
_chemical_formula_sum 'Al1 Te1 Au1 I2'
_cell_length_a 6.0834
_cell_length_b 6.0834
_cell_length_c 5.5674
_cell_angle_alpha 90.00
_cell_angle_beta 90.00
_cell_angle_gamma 90.00
_space_group_name_H-M_alt 'P 4/m m m'
_space_group_IT_number 123
_space_group_name_Hall '-P 4 2'
loop_
_atom_site_label
_atom_site_type_symbol
_atom_site_fract_x
_atom_site_fract_y
_atom_site_fract_z
Al1 Al 0.0000 0.0000 0.0000
Te1 Te 0.0000 0.0000 0.5000
Au1 Au 0.5000 0.5000 0.0000
I1 I 0.0000 0.5000 0.5000
```

Values from the calculation:
- mass density (g/cm3) = 4.9
- volume (Å³/cell) = 206.04
- Fermi-level density of states (states/eV per cell) = 5.5

(2)
## AlTeAuI2 (PBE)

Data for a geometry-optimized AlTeAuI2 structure.

CIF file:
```
data_AlTeAuI2
_chemical_formula_sum 'Al1 Te1 Au1 I2'
_cell_length_a 5.6487
_cell_length_b 5.6487
_cell_length_c 5.5563
_cell_angle_alpha 90.00
_cell_angle_beta 90.00
_cell_angle_gamma 90.00
_space_group_name_H-M_alt 'P 4/m m m'
_space_group_IT_number 123
_space_group_name_Hall '-P 4 2'
loop_
_atom_site_label
_atom_site_type_symbol
_atom_site_fract_x
_atom_site_fract_y
_atom_site_fract_z
Al1 Al 0.0000 0.0000 0.0000
Te1 Te 0.5000 0.5000 0.0000
Au1 Au 0.5000 0.5000 0.5000
I1 I 0.0000 0.5000 0.5000
```

Values from the calculation:
- mass density (g/cm3) = 5.7
- volume (Å³/cell) = 177.29
- Fermi-level density of states (states/eV per cell) = 4.8

(3)
## AlTeAuI2 (PBE)

Data for a geometry-optimized AlTeAuI2 structure.

CIF file:
```
data_AlTeAuI2
_chemical_formula_sum 'Al1 Te1 Au1 I2'
_cell_length_a 5.4180
_cell_length_b 5.4180
_cell_length_c 5.5440
_cell_angle_alpha 90.00
_cell_angle_beta 90.00
_cell_angle_gamma 90.00
_space_group_name_H-M_alt 'P 4/m m m'
_space_group_IT_number 123
_space_group_name_Hall '-P 4 2'
loop_
_atom_site_label
_atom_site_type_symbol
_atom_site_fract_x
_atom_site_fract_y
_atom_site_fract_z
Al1 Al 0.0000 0.0000 0.0000
Te1 Te 0.0000 0.0000 0.5000
Au1 Au 0.5000 0.5000 0.5000
I1 I 0.0000 0.5000 0.0000
```

Values from the calculation:
- mass density (g/cm3) = 6.2
- volume (Å³/cell) = 162.74
- Fermi-level density of states (states/eV per cell) = 4.7

Of them, (1) has the lowest stability.